# 1
Compound: MnCdRe2
Source: Alexandria
Functional: GGA-PBE
Structure: optimized geometry

Space-group type: I-4m2, No. 119
Energy, eV/atom: -8.24

Cell and atoms, written as extended XYZ:
```
4
Lattice="4.7211 -0.0635 0.0000 1.2804 4.5446 0.0000 -3.0008 -2.2405 2.8754" Properties=species:S:1:pos:R:3 pbc="T T T"
Re 0.6402 2.2723 1.4377
Re 0.0000 0.0000 0.0000
Mn 2.3605 -0.0318 1.4377
Cd 3.0007 2.2405 0.0000
```

=====

# 2
Compound: Mn2Cd2Re
Source: Alexandria
Functional: GGA-PBE
Structure: optimized geometry

Space-group type: P4/mbm, No. 127
Energy, eV/atom: -5.94

Cell and atoms, written as extended XYZ:
```
10
Lattice="-1.2281 -2.7425 5.2695 5.8907 0.1325 1.4418 -0.5663 3.9944 1.9469" Properties=species:S:1:pos:R:3 pbc="T T T"
Cd 0.6017 -0.2131 5.7657
Cd 3.7226 0.2452 5.7333
Cd 3.4946 1.5975 2.8925
Cd 0.3737 1.1392 2.9248
Mn 4.6877 -0.9091 3.2287
Mn 2.6166 -2.3131 5.5068
Mn -0.0250 -1.7010 3.4826
Mn 2.0461 -0.2970 1.2044
Re 2.3313 -1.3050 3.3556
Re 0.0000 0.0000 0.0000
```

=====

> What is the energy in the first record?

-8.24 eV/atom

=====

> What is the energy in the second record?

-5.94 eV/atom

=====

> Number 1 is which compound?

MnCdRe2